Record 1
## BaH4C2O6 (SCAN)

Data for a PBEsol-optimized structure of BaH4C2O6. Values from VASP.

Values from the calculation:
The calculation puts the energy at -10.086 eV/atom. The value obtained for the density of states at the Fermi level is 0.000 states/eV/atom. As for the space group: P2_1/c, No. 14.

Quantum ESPRESSO input file:
```
&SYSTEM
  ibrav = 0, nat = 52, ntyp = 4
/
ATOMIC_SPECIES
Ba 137.33 Ba.upf
H 1.01 H.upf
C 12.01 C.upf
O 16.00 O.upf
CELL_PARAMETERS angstrom
7.402 0.000 0.000
0.000 11.025 0.000
-1.854 0.000 6.717
ATOMIC_POSITIONS angstrom
Ba 0.955 0.114 1.973
Ba 0.027 5.398 5.331
Ba 5.520 5.627 1.385
Ba 4.593 10.911 4.743
H 0.131 2.369 6.092
H 1.058 3.143 2.733
H 2.145 5.753 1.884
H 1.217 10.784 5.242
H 1.585 1.271 4.996
H 2.512 4.241 1.638
H 2.555 2.696 3.164
H 1.627 2.816 6.522
H 3.920 8.209 0.194
H 2.993 8.329 3.553
H 3.035 6.784 5.079
H 3.963 9.753 1.721
H 4.330 0.240 1.474
H 3.403 5.272 4.833
H 4.489 7.881 3.983
H 5.416 8.656 0.625
C -0.602 8.232 3.300
C -1.529 8.305 6.659
C 0.797 7.714 2.853
C -0.131 8.824 6.211
C 5.678 2.201 0.505
C 4.751 3.311 3.863
C 7.077 2.720 0.058
C 6.149 2.793 3.416
O -1.726 7.065 6.712
O -0.799 9.472 3.353
O -1.338 1.811 6.471
O -0.411 3.701 3.113
O 0.950 6.459 2.865
O 0.023 10.078 6.224
O 0.735 7.963 5.886
O 1.662 8.574 2.528
O 1.008 2.736 5.741
O 1.935 2.777 2.382
O 1.795 0.344 4.661
O 2.722 5.169 1.303
O 2.825 5.856 5.414
O 3.752 10.681 2.055
O 3.612 8.248 4.334
O 4.540 8.289 0.976
O 3.885 2.451 4.188
O 4.813 3.062 0.830
O 5.524 0.947 0.493
O 4.597 4.566 3.851
O 5.958 7.323 3.603
O 6.885 9.214 0.245
O 6.346 1.553 3.363
O 7.273 3.960 0.005
```


Record 2
## TlHgF3 (SCAN)

Data for a PBEsol-optimized structure of TlHgF3. Values from VASP.

Values from the calculation:
The calculation puts the energy at -31.810 eV/atom. The value obtained for the density of states at the Fermi level is 0.000 states/eV/atom. As for the uncorrected formation energy: -1.58 eV/atom. As for the space group: Pm-3m, No. 221.

Quantum ESPRESSO input file:
```
&SYSTEM
  ibrav = 0, nat = 5, ntyp = 3
/
ATOMIC_SPECIES
Tl 204.38 Tl.upf
Hg 200.59 Hg.upf
F 19.00 F.upf
CELL_PARAMETERS angstrom
4.519 0.000 0.000
0.000 4.519 0.000
0.000 0.000 4.519
ATOMIC_POSITIONS angstrom
Tl 0.000 0.000 0.000
Hg 2.260 2.260 2.260
F 0.000 2.260 2.260
F 2.260 0.000 2.260
F 2.260 2.260 0.000
```